(1)
# Cs2LiBiI6

An optimized crystal structure of Cs2LiBiI6 (GGA-PBEsol, Alexandria).

Output
* uncorrected formation energy: -1042 meV/atom
* calculated density: 4.9 g/cm³
* E_tot: -2.92 eV/atom
* calculated volume: 42.02 A^3/atom

abc: 8.4073 8.4073 8.4073
angles: 60.00 60.00 60.00
With the nearest neighbours (Å) after each atom.
Atoms (fractional coordinates):
Li  0.5000  0.5000  0.5000  6 I 2.91
Cs  0.7500  0.7500  0.7500  12 I 4.20
Cs  0.2500  0.2500  0.2500  12 I 4.20
I  0.7445  0.7445  0.2555  1 Li 2.91, 1 Bi 3.04
I  0.7445  0.2555  0.7445  1 Li 2.91, 1 Bi 3.04
I  0.2555  0.2555  0.7445  1 Li 2.91, 1 Bi 3.04
I  0.2555  0.7445  0.2555  1 Li 2.91, 1 Bi 3.04
I  0.7445  0.2555  0.2555  1 Li 2.91, 1 Bi 3.04
I  0.2555  0.7445  0.7445  1 Li 2.91, 1 Bi 3.04
Bi  0.0000  0.0000  0.0000  6 I 3.04

(2)
# Cs2NaBiI6

An optimized crystal structure of Cs2NaBiI6 (GGA-PBEsol, Alexandria).

Output
* uncorrected formation energy: -1037 meV/atom
* calculated density: 4.6 g/cm³
* E_tot: -2.85 eV/atom
* calculated volume: 45.34 A^3/atom

abc: 8.6231 8.6231 8.6231
angles: 60.00 60.00 60.00
With the nearest neighbours (Å) after each atom.
Atoms (fractional coordinates):
Cs  0.2500  0.2500  0.2500  12 I 4.31
Cs  0.7500  0.7500  0.7500  12 I 4.31
I  0.7513  0.2487  0.7513  1 Bi 3.03, 1 Na 3.06
I  0.2487  0.7513  0.2487  1 Bi 3.03, 1 Na 3.06
I  0.2487  0.2487  0.7513  1 Bi 3.03, 1 Na 3.06
I  0.2487  0.7513  0.7513  1 Bi 3.03, 1 Na 3.06
I  0.7513  0.2487  0.2487  1 Bi 3.03, 1 Na 3.06
I  0.7513  0.7513  0.2487  1 Bi 3.03, 1 Na 3.06
Na  0.5000  0.5000  0.5000  6 I 3.06
Bi  0.0000  0.0000  0.0000  6 I 3.03

(3)
# Cs2TlBiI6

An optimized crystal structure of Cs2TlBiI6 (GGA-PBEsol, Alexandria).

Output
* uncorrected formation energy: -908 meV/atom
* calculated density: 4.9 g/cm³
* E_tot: -2.85 eV/atom
* calculated volume: 48.66 A^3/atom

abc: 8.8289 8.8289 8.8289
angles: 60.00 60.00 60.00
With the nearest neighbours (Å) after each atom.
Atoms (fractional coordinates):
Bi  0.0000  0.0000  0.0000  6 I 3.04
I  0.7566  0.7566  0.2434  1 Bi 3.04, 1 Tl 3.20
I  0.7566  0.2434  0.2434  1 Bi 3.04, 1 Tl 3.20
I  0.2434  0.7566  0.2434  1 Bi 3.04, 1 Tl 3.20
I  0.2434  0.2434  0.7566  1 Bi 3.04, 1 Tl 3.20
I  0.7566  0.2434  0.7566  1 Bi 3.04, 1 Tl 3.20
I  0.2434  0.7566  0.7566  1 Bi 3.04, 1 Tl 3.20
Tl  0.5000  0.5000  0.5000  6 I 3.20
Cs  0.2500  0.2500  0.2500  12 I 4.42
Cs  0.7500  0.7500  0.7500  12 I 4.42

(4)
# CsInBi3

An optimized crystal structure of CsInBi3 (GGA-PBEsol, Alexandria).

Output
* E_form: 1.24 eV per atom
* calculated density: 6.1 g/cm³
* E_tot: -2.11 eV/atom
* calculated volume: 47.72 A^3/atom

abc: 6.2022 6.2022 6.2022
angles: 90.00 90.00 90.00
With the nearest neighbours (Å) after each atom.
Atoms (fractional coordinates):
Bi  0.0000  0.5000  0.0000  2 Cs 3.10
Bi  0.0000  0.0000  0.5000  2 Cs 3.10
Bi  0.5000  0.0000  0.0000  2 Cs 3.10
Cs  0.0000  0.0000  0.0000  6 Bi 3.10
In  0.5000  0.5000  0.5000  12 Bi 4.39

(5)
# CsIn2Bi2

An optimized crystal structure of CsIn2Bi2 (GGA-PBEsol, Alexandria).

Output
* E_form: -0.24 eV per atom
* calculated density: 7.1 g/cm³
* E_tot: -3.34 eV/atom
* calculated volume: 36.48 A^3/atom

abc: 5.1398 5.1398 7.8022
angles: 109.23 109.23 90.00
With the nearest neighbours (Å) after each atom.
Atoms (fractional coordinates):
Bi  0.3735  0.3735  0.7469  4 In 3.08
Bi  0.6265  0.6265  0.2531  4 In 3.08
In  0.2500  0.7500  0.5000  4 Bi 3.08
In  0.7500  0.2500  0.5000  4 Bi 3.08
Cs  0.0000  0.0000  0.0000  8 Bi 4.03, 8 In 4.30

(6)
# CsBi2Ir

An optimized crystal structure of CsBi2Ir (GGA-PBEsol, Alexandria).

Output
* E_form: 0.21 eV per atom
* calculated density: 9.1 g/cm³
* E_tot: -4.63 eV/atom
* excess energy over the best structure of this formula in the dataset: 0 kJ/mol of formula units
* calculated volume: 33.89 A^3/atom

abc: 7.0878 7.0878 7.0878
angles: 73.83 73.83 116.30
With the nearest neighbours (Å) after each atom.
Atoms (fractional coordinates):
Bi  0.8750  0.9748  0.4002  2 Ir 2.65
Bi  0.0252  0.6250  0.0998  2 Ir 2.65
Bi  0.7248  0.1250  0.9002  2 Ir 2.65
Bi  0.3750  0.2752  0.5998  2 Ir 2.65
Ir  0.7500  0.2500  0.5000  4 Bi 2.65
Ir  0.0000  0.0000  0.0000  4 Bi 2.65
Cs  0.5000  0.5000  0.0000  2 Ir 3.74, 8 Bi 3.75-3.78
Cs  0.2500  0.7500  0.5000  2 Ir 3.74, 8 Bi 3.75-3.78

(7)
# CsBi2Ir

An optimized crystal structure of CsBi2Ir (GGA-PBEsol, Alexandria).

Output
* E_form: 0.60 eV per atom
* calculated density: 11.9 g/cm³
* E_tot: -4.23 eV/atom
* excess energy over the best structure of this formula in the dataset: 153 kJ/mol of formula units
* calculated volume: 25.84 A^3/atom

abc: 5.2679 5.2679 5.2679
angles: 60.00 60.00 60.00
With the nearest neighbours (Å) after each atom.
Atoms (fractional coordinates):
Bi  0.7500  0.7500  0.7500  4 Ir 3.23, 4 Cs 3.23
Bi  0.2500  0.2500  0.2500  4 Ir 3.23, 4 Cs 3.23
Cs  0.0000  0.0000  0.0000  8 Bi 3.23
Ir  0.5000  0.5000  0.5000  8 Bi 3.23

(8)
# Cs2KBi2

An optimized crystal structure of Cs2KBi2 (GGA-PBEsol, Alexandria).

Output
* E_form: 0.08 eV per atom
* calculated density: 4.5 g/cm³
* E_tot: -2.24 eV/atom
* excess energy over the best structure of this formula in the dataset: 184 kJ/mol of formula units
* calculated volume: 52.79 A^3/atom

abc: 6.1088 6.1088 8.2874
angles: 111.63 111.63 90.00
With the nearest neighbours (Å) after each atom.
Atoms (fractional coordinates):
Bi  0.7500  0.2500  0.5000  4 Cs 3.54
Bi  0.2500  0.7500  0.5000  4 Cs 3.54
Cs  0.3769  0.3769  0.7538  1 Cs 3.48, 4 Bi 3.54
Cs  0.6231  0.6231  0.2462  1 Cs 3.48, 4 Bi 3.54
K  0.0000  0.0000  0.0000  8 Cs 4.66, 8 Bi 4.67

Copy entry 7 word for word.
# CsBi2Ir

An optimized crystal structure of CsBi2Ir (GGA-PBEsol, Alexandria).

Output
* E_form: 0.60 eV per atom
* calculated density: 11.9 g/cm³
* E_tot: -4.23 eV/atom
* excess energy over the best structure of this formula in the dataset: 153 kJ/mol of formula units
* calculated volume: 25.84 A^3/atom

abc: 5.2679 5.2679 5.2679
angles: 60.00 60.00 60.00
With the nearest neighbours (Å) after each atom.
Atoms (fractional coordinates):
Bi  0.7500  0.7500  0.7500  4 Ir 3.23, 4 Cs 3.23
Bi  0.2500  0.2500  0.2500  4 Ir 3.23, 4 Cs 3.23
Cs  0.0000  0.0000  0.0000  8 Bi 3.23
Ir  0.5000  0.5000  0.5000  8 Bi 3.23